(1)
Here is an optimized crystal structure of Er6Co2Sb from Alexandria. Energies are from GGA-PBE.

Unit cell a=9.291 b=9.507 c=9.943 alpha=90.00 beta=90.00 gamma=90.00
Space group Immm (No. 71)
One atom of each set of equivalent atoms:
Er1 0.000 0.207 0.236 (multiplicity 8)
Er2 0.184 0.500 0.175 (multiplicity 8)
Er3 0.216 0.317 0.500 (multiplicity 8)
Co1 0.000 0.342 0.000 (multiplicity 4)
Co2 0.000 0.500 0.387 (multiplicity 4)
Sb1 0.000 0.000 0.000 (multiplicity 2)
Sb2 0.000 0.000 0.500 (multiplicity 2)

Summary:
For the volume, the calculation gives 878 Å³/cell. The value obtained for the uncorrected energy is -5.47 eV per atom. The calculation puts the formation energy from raw total energies at -0.394 eV/atom.

(2)
Here is an optimized crystal structure of Er8CoSb2 from Alexandria. Energies are from GGA-PBE.

Unit cell a=18.671 b=4.463 c=7.298 alpha=90.00 beta=96.42 gamma=90.00
Space group C2/m (No. 12)
One atom of each set of equivalent atoms:
Er1 0.000 0.000 0.219 (multiplicity 4)
Er2 0.095 0.500 0.518 (multiplicity 4)
Er3 0.136 0.500 0.037 (multiplicity 4)
Er4 0.215 0.000 0.346 (multiplicity 4)
Co1 0.000 0.500 0.000 (multiplicity 2)
Sb1 0.181 0.000 0.772 (multiplicity 4)

Summary:
For the volume, the calculation gives 604 Å³/cell. The value obtained for the uncorrected energy is -5.12 eV per atom. The calculation puts the formation energy from raw total energies at -0.408 eV/atom.

(3)
Here is an optimized crystal structure of Er3CoSb from Alexandria. Energies are from GGA-PBE.

Unit cell a=5.073 b=5.073 c=5.073 alpha=90.00 beta=90.00 gamma=90.00
Space group Pm-3m (No. 221)
One atom of each set of equivalent atoms:
Er1 0.000 0.000 0.500 (multiplicity 3)
Co1 0.000 0.000 0.000 (multiplicity 1)
Sb1 0.500 0.500 0.500 (multiplicity 1)

Summary:
For the volume, the calculation gives 131 Å³/cell. The value obtained for the uncorrected energy is -5.38 eV per atom. The calculation puts the formation energy from raw total energies at -0.397 eV/atom.

(4)
Here is an optimized crystal structure of ErCoSb from Alexandria. Energies are from GGA-PBE.

Unit cell a=11.415 b=4.075 c=6.108 alpha=90.00 beta=118.51 gamma=90.00
Space group C2/m (No. 12)
One atom of each set of equivalent atoms:
Er1 0.209 0.000 0.208 (multiplicity 4)
Co1 0.105 0.000 0.662 (multiplicity 4)
Sb1 0.010 0.500 0.263 (multiplicity 4)

Summary:
For the volume, the calculation gives 250 Å³/cell. The value obtained for the uncorrected energy is -5.61 eV per atom. The calculation puts the formation energy from raw total energies at -0.347 eV/atom.

(5)
Here is an optimized crystal structure of Er2ScCo from Alexandria. Energies are from GGA-PBE.

Unit cell a=6.272 b=5.943 c=10.786 alpha=90.00 beta=90.00 gamma=90.00
Space group Pnna (No. 52)
One atom of each set of equivalent atoms:
Er1 0.091 0.246 0.089 (multiplicity 8)
Sc1 0.081 0.250 0.750 (multiplicity 4)
Co1 0.250 0.000 0.906 (multiplicity 4)

Summary:
For the volume, the calculation gives 402 Å³/cell. The value obtained for the uncorrected energy is -5.74 eV per atom. The formation energy is -101 meV per atom.

(6)
Here is an optimized crystal structure of ErSc3Co4 from Alexandria. Energies are from GGA-PBE.

Unit cell a=4.469 b=4.469 c=6.367 alpha=90.00 beta=90.00 gamma=90.00
Space group P4/mmm (No. 123)
One atom of each set of equivalent atoms:
Er1 0.000 0.000 0.000 (multiplicity 1)
Sc1 0.000 0.000 0.500 (multiplicity 1)
Sc2 0.500 0.500 0.000 (multiplicity 1)
Sc3 0.500 0.500 0.500 (multiplicity 1)
Co1 0.000 0.500 0.258 (multiplicity 4)

Summary:
For the volume, the calculation gives 127 Å³/cell. The value obtained for the uncorrected energy is -6.80 eV per atom. The formation energy is -299 meV per atom.

(7)
Here is an optimized crystal structure of ErScCo from Alexandria. Energies are from GGA-PBE.

Unit cell a=3.238 b=3.238 c=11.981 alpha=90.00 beta=90.00 gamma=90.00
Space group I4mm (No. 107)
One atom of each set of equivalent atoms:
Er1 0.000 0.000 0.000 (multiplicity 2)
Sc1 0.000 0.000 0.261 (multiplicity 2)
Co1 0.000 0.000 0.641 (multiplicity 2)

Summary:
For the volume, the calculation gives 126 Å³/cell. The value obtained for the uncorrected energy is -6.18 eV per atom. The formation energy is -182 meV per atom.

(8)
Here is an optimized crystal structure of ErScCo from Alexandria. Energies are from GGA-PBE.

Unit cell a=5.207 b=6.027 c=7.706 alpha=90.00 beta=90.00 gamma=90.00
Space group Imma (No. 74)
One atom of each set of equivalent atoms:
Er1 0.000 0.250 0.123 (multiplicity 4)
Sc1 0.000 0.000 0.500 (multiplicity 4)
Co1 0.000 0.250 0.788 (multiplicity 4)

Summary:
For the volume, the calculation gives 242 Å³/cell. The value obtained for the uncorrected energy is -5.94 eV per atom. The formation energy is 57 meV per atom.

(9)
Here is an optimized crystal structure of ErSc4Co2 from Alexandria. Energies are from GGA-PBE.

Unit cell a=7.117 b=5.844 c=7.537 alpha=90.00 beta=113.35 gamma=90.00
Space group P2_1/m (No. 11)
One atom of each set of equivalent atoms:
Er1 0.016 0.250 0.161 (multiplicity 2)
Sc1 0.241 0.000 0.584 (multiplicity 4)
Sc2 0.333 0.750 0.260 (multiplicity 2)
Sc3 0.383 0.250 0.017 (multiplicity 2)
Co1 0.020 0.250 0.733 (multiplicity 2)
Co2 0.421 0.250 0.373 (multiplicity 2)

Summary:
For the volume, the calculation gives 288 Å³/cell. The value obtained for the uncorrected energy is -6.46 eV per atom. The formation energy is -158 meV per atom.

(10)
Here is an optimized crystal structure of Er2ScCo from Alexandria. Energies are from GGA-PBE.

Unit cell a=3.2841 b=3.2841 c=30.9933 alpha=90.00 beta=90.00 gamma=120.00
Space group R-3m (No. 166, hexagonal axes)
One atom of each set of equivalent atoms:
Er1 0.0000 0.0000 0.0786 (multiplicity 6)
Sc1 0.0000 0.0000 0.5000 (multiplicity 3)
Co1 0.0000 0.0000 0.0000 (multiplicity 3)

Summary:
For the volume, the calculation gives 289 Å³/cell. The value obtained for the uncorrected energy is -5.16 eV per atom. The formation energy is 478 meV per atom.

(11)
Here is an optimized crystal structure of ErSc4Co5 from Alexandria. Energies are from GGA-PBE.

Unit cell a=3.157 b=3.157 c=15.805 alpha=90.00 beta=90.00 gamma=90.00
Space group P4/mmm (No. 123)
One atom of each set of equivalent atoms:
Er1 0.000 0.000 0.000 (multiplicity 1)
Sc1 0.000 0.000 0.206 (multiplicity 2)
Sc2 0.000 0.000 0.402 (multiplicity 2)
Co1 0.500 0.500 0.110 (multiplicity 2)
Co2 0.500 0.500 0.304 (multiplicity 2)
Co3 0.500 0.500 0.500 (multiplicity 1)

Summary:
For the volume, the calculation gives 158 Å³/cell. The value obtained for the uncorrected energy is -6.85 eV per atom. The formation energy is -311 meV per atom.

(12)
Here is an optimized crystal structure of Er3ScCo from Alexandria. Energies are from GGA-PBE.

Unit cell a=7.320 b=6.170 c=5.874 alpha=90.00 beta=90.00 gamma=90.00
Space group Pmn2_1 (No. 31)
One atom of each set of equivalent atoms:
Er1 0.000 0.155 0.000 (multiplicity 2)
Er2 0.250 0.319 0.495 (multiplicity 4)
Sc1 0.000 0.843 0.498 (multiplicity 2)
Co1 0.000 0.514 0.254 (multiplicity 2)

Summary:
For the volume, the calculation gives 265 Å³/cell. The value obtained for the uncorrected energy is -5.47 eV per atom. The formation energy is -44 meV per atom.

Which of these has the lowest volume? number 7

Which value of uncorrected energy does entry 12 give? -5.47 eV per atom

Which of these has the highest volume? Er6Co2Sb